# KZr2Ta | the Alexandria database | SCAN | single point on PBEsol structure
# Formation enthalpy at 0 K = 736 meV/atom
# N(E_F) = 3.19 states/eV/f.u.
# Crystal system = monoclinic
# Offset from the most stable computed form = 66 meV per atom
data_KZr2Ta
_space_group_name_H-M_alt 'P 1'
_space_group_IT_number 1
_space_group_name_Hall 'P 1'
_cell_length_a 2.914
_cell_length_b 4.773
_cell_length_c 7.944
_cell_angle_alpha 90.00
_cell_angle_beta 102.56
_cell_angle_gamma 90.00
loop_
_atom_site_label
_atom_site_type_symbol
_atom_site_fract_x
_atom_site_fract_y
_atom_site_fract_z
Zr1 Zr 0.960 0.000 0.971
K1 K 0.497 0.000 0.512
Ta1 Ta 0.274 0.500 0.843
Zr2 Zr 0.770 0.500 0.174



# KZr2Ta | the Alexandria database | SCAN | single point on PBEsol structure
# Formation enthalpy at 0 K = 978 meV/atom
# N(E_F) = 3.47 states/eV/f.u.
# Crystal system = monoclinic
# Offset from the most stable computed form = 308 meV per atom
data_KZr2Ta
_space_group_name_H-M_alt 'P 1'
_space_group_IT_number 1
_space_group_name_Hall 'P 1'
_cell_length_a 2.731
_cell_length_b 6.175
_cell_length_c 6.175
_cell_angle_alpha 114.57
_cell_angle_beta 98.91
_cell_angle_gamma 98.91
loop_
_atom_site_label
_atom_site_type_symbol
_atom_site_fract_x
_atom_site_fract_y
_atom_site_fract_z
K1 K 0.500 0.000 0.000
Zr1 Zr 0.000 0.000 0.500
Zr2 Zr 0.000 0.500 0.000
Ta1 Ta 0.500 0.500 0.500



# KZr2Ta | the Alexandria database | SCAN | single point on PBEsol structure
# Formation enthalpy at 0 K = 965 meV/atom
# N(E_F) = 3.33 states/eV/f.u.
# Crystal system = orthorhombic
# Offset from the most stable computed form = 295 meV per atom
data_KZr2Ta
_space_group_name_H-M_alt 'P 1'
_space_group_IT_number 1
_space_group_name_Hall 'P 1'
_cell_length_a 2.902
_cell_length_b 5.749
_cell_length_c 6.593
_cell_angle_alpha 115.85
_cell_angle_beta 102.71
_cell_angle_gamma 90.00
loop_
_atom_site_label
_atom_site_type_symbol
_atom_site_fract_x
_atom_site_fract_y
_atom_site_fract_z
Zr1 Zr 0.730 0.230 0.459
Ta1 Ta 0.278 0.778 0.556
Zr2 Zr 0.980 0.980 0.959
K1 K 0.513 0.513 0.026



# KZrTa4 | the Alexandria database | SCAN | single point on PBEsol structure
# Formation enthalpy at 0 K = 930 meV/atom
# N(E_F) = 10.96 states/eV/f.u.
# Crystal system = cubic
data_KZrTa4
_space_group_name_H-M_alt 'P 1'
_space_group_IT_number 1
_space_group_name_Hall 'P 1'
_cell_length_a 5.644
_cell_length_b 5.644
_cell_length_c 5.644
_cell_angle_alpha 60.00
_cell_angle_beta 60.00
_cell_angle_gamma 60.00
loop_
_atom_site_label
_atom_site_type_symbol
_atom_site_fract_x
_atom_site_fract_y
_atom_site_fract_z
Ta1 Ta 0.377 0.377 0.870
K1 K 0.000 0.000 0.000
Ta2 Ta 0.377 0.870 0.377
Ta3 Ta 0.377 0.377 0.377
Zr1 Zr 0.750 0.750 0.750
Ta4 Ta 0.870 0.377 0.377



# K5Tc | the Alexandria database | SCAN | single point on PBEsol structure
# Formation enthalpy at 0 K = 803 meV/atom
# N(E_F) = 4.70 states/eV/f.u.
# Crystal system = orthorhombic
# Offset from the most stable computed form = 65 meV per atom
data_K5Tc
_space_group_name_H-M_alt 'P 1'
_space_group_IT_number 1
_space_group_name_Hall 'P 1'
_cell_length_a 3.808
_cell_length_b 6.522
_cell_length_c 11.947
_cell_angle_alpha 90.00
_cell_angle_beta 99.17
_cell_angle_gamma 90.00
loop_
_atom_site_label
_atom_site_type_symbol
_atom_site_fract_x
_atom_site_fract_y
_atom_site_fract_z
Tc1 Tc 0.102 0.500 0.205
K1 K 0.471 0.500 0.942
K2 K 0.023 0.000 0.046
K3 K 0.658 0.000 0.315
K4 K 0.736 0.500 0.471
K5 K 0.344 0.000 0.688



# K5Tc | the Alexandria database | SCAN | single point on PBEsol structure
# Formation enthalpy at 0 K = 738 meV/atom
# N(E_F) = 3.59 states/eV/f.u.
# Crystal system = monoclinic
# Offset from the most stable computed form = 0 meV per atom
data_K5Tc
_space_group_name_H-M_alt 'P 1'
_space_group_IT_number 1
_space_group_name_Hall 'P 1'
_cell_length_a 3.860
_cell_length_b 7.896
_cell_length_c 10.928
_cell_angle_alpha 72.19
_cell_angle_beta 79.83
_cell_angle_gamma 75.85
loop_
_atom_site_label
_atom_site_type_symbol
_atom_site_fract_x
_atom_site_fract_y
_atom_site_fract_z
Tc1 Tc 0.306 0.500 0.889
K1 K 0.931 0.127 0.011
K2 K 0.967 0.442 0.624
K3 K 0.305 0.001 0.389
K4 K 0.644 0.558 0.154
K5 K 0.680 0.873 0.767



# KTcTe2 | the Alexandria database | SCAN | single point on PBEsol structure
# ΔE_f (raw) = -0.06 eV per atom
# N(E_F) = 2.46 states/eV/f.u.
# Crystal system = monoclinic
data_KTcTe2
_space_group_name_H-M_alt 'P 1'
_space_group_IT_number 1
_space_group_name_Hall 'P 1'
_cell_length_a 3.163
_cell_length_b 4.104
_cell_length_c 7.946
_cell_angle_alpha 90.00
_cell_angle_beta 96.66
_cell_angle_gamma 90.00
loop_
_atom_site_label
_atom_site_type_symbol
_atom_site_fract_x
_atom_site_fract_y
_atom_site_fract_z
Te1 Te 0.102 0.000 0.297
Te2 Te 0.898 0.000 0.703
K1 K 0.500 0.500 0.000
Tc1 Tc 0.000 0.500 0.500



# K2TcTe | the Alexandria database | SCAN | single point on PBEsol structure
# ΔE_f (raw) = 0.48 eV per atom
# N(E_F) = 1.58 states/eV/f.u.
# Crystal system = tetragonal
data_K2TcTe
_space_group_name_H-M_alt 'P 1'
_space_group_IT_number 1
_space_group_name_Hall 'P 1'
_cell_length_a 4.273
_cell_length_b 4.282
_cell_length_c 5.448
_cell_angle_alpha 90.00
_cell_angle_beta 90.00
_cell_angle_gamma 90.00
loop_
_atom_site_label
_atom_site_type_symbol
_atom_site_fract_x
_atom_site_fract_y
_atom_site_fract_z
Te1 Te 0.000 0.500 0.500
Tc1 Tc 0.500 0.000 0.500
K1 K 0.000 0.000 0.000
K2 K 0.500 0.500 0.000



# KTiTc3 | the Alexandria database | SCAN | single point on PBEsol structure
# Formation enthalpy at 0 K = 2852 meV/atom
# N(E_F) = 6.91 states/eV/f.u.
# Crystal system = cubic
data_KTiTc3
_space_group_name_H-M_alt 'P 1'
_space_group_IT_number 1
_space_group_name_Hall 'P 1'
_cell_length_a 4.357
_cell_length_b 4.357
_cell_length_c 4.357
_cell_angle_alpha 90.00
_cell_angle_beta 90.00
_cell_angle_gamma 90.00
loop_
_atom_site_label
_atom_site_type_symbol
_atom_site_fract_x
_atom_site_fract_y
_atom_site_fract_z
K1 K 0.000 0.000 0.000
Tc1 Tc 0.500 0.000 0.000
Tc2 Tc 0.000 0.500 0.000
Tc3 Tc 0.000 0.000 0.500
Ti1 Ti 0.500 0.500 0.500



# K2TcW | the Alexandria database | SCAN | single point on PBEsol structure
# Formation enthalpy at 0 K = 1451 meV/atom
# N(E_F) = 2.51 states/eV/f.u.
# Crystal system = monoclinic
# Offset from the most stable computed form = 0 meV per atom
data_K2TcW
_space_group_name_H-M_alt 'P 1'
_space_group_IT_number 1
_space_group_name_Hall 'P 1'
_cell_length_a 2.700
_cell_length_b 4.997
_cell_length_c 6.044
_cell_angle_alpha 90.00
_cell_angle_beta 90.00
_cell_angle_gamma 97.06
loop_
_atom_site_label
_atom_site_type_symbol
_atom_site_fract_x
_atom_site_fract_y
_atom_site_fract_z
Tc1 Tc 0.000 0.500 0.500
K1 K 0.755 0.748 0.000
W1 W 0.500 0.000 0.500
K2 K 0.245 0.252 0.000



# K2TcW | the Alexandria database | SCAN | single point on PBEsol structure
# Formation enthalpy at 0 K = 1525 meV/atom
# N(E_F) = 3.72 states/eV/f.u.
# Crystal system = orthorhombic
# Offset from the most stable computed form = 74 meV per atom
data_K2TcW
_space_group_name_H-M_alt 'P 1'
_space_group_IT_number 1
_space_group_name_Hall 'P 1'
_cell_length_a 2.646
_cell_length_b 5.245
_cell_length_c 5.950
_cell_angle_alpha 90.00
_cell_angle_beta 90.00
_cell_angle_gamma 90.00
loop_
_atom_site_label
_atom_site_type_symbol
_atom_site_fract_x
_atom_site_fract_y
_atom_site_fract_z
K1 K 0.000 0.749 0.000
Tc1 Tc 0.500 0.500 0.500
K2 K 0.000 0.251 0.000
W1 W 0.500 0.000 0.500



# KYTc2 | the Alexandria database | SCAN | single point on PBEsol structure
# Formation enthalpy at 0 K = 694 meV/atom
# N(E_F) = 2.87 states/eV/f.u.
# Crystal system = tetragonal
data_KYTc2
_space_group_name_H-M_alt 'P 1'
_space_group_IT_number 1
_space_group_name_Hall 'P 1'
_cell_length_a 3.811
_cell_length_b 3.811
_cell_length_c 7.409
_cell_angle_alpha 90.00
_cell_angle_beta 90.00
_cell_angle_gamma 90.00
loop_
_atom_site_label
_atom_site_type_symbol
_atom_site_fract_x
_atom_site_fract_y
_atom_site_fract_z
Tc1 Tc 0.000 0.000 0.856
K1 K 0.500 0.500 0.500
Y1 Y 0.500 0.500 0.000
Tc2 Tc 0.000 0.000 0.144



# KYTc3 | the Alexandria database | SCAN | single point on PBEsol structure
# Formation enthalpy at 0 K = 2554 meV/atom
# N(E_F) = 6.85 states/eV/f.u.
# Crystal system = cubic
data_KYTc3
_space_group_name_H-M_alt 'P 1'
_space_group_IT_number 1
_space_group_name_Hall 'P 1'
_cell_length_a 4.537
_cell_length_b 4.537
_cell_length_c 4.537
_cell_angle_alpha 90.00
_cell_angle_beta 90.00
_cell_angle_gamma 90.00
loop_
_atom_site_label
_atom_site_type_symbol
_atom_site_fract_x
_atom_site_fract_y
_atom_site_fract_z
Y1 Y 0.500 0.500 0.500
Tc1 Tc 0.000 0.500 0.000
K1 K 0.000 0.000 0.000
Tc2 Tc 0.000 0.000 0.500
Tc3 Tc 0.500 0.000 0.000



# KZnTc2 | the Alexandria database | SCAN | single point on PBEsol structure
# Formation enthalpy at 0 K = 626 meV/atom
# N(E_F) = 2.88 states/eV/f.u.
# Crystal system = orthorhombic
data_KZnTc2
_space_group_name_H-M_alt 'P 1'
_space_group_IT_number 1
_space_group_name_Hall 'P 1'
_cell_length_a 2.710
_cell_length_b 2.710
_cell_length_c 10.198
_cell_angle_alpha 90.00
_cell_angle_beta 90.00
_cell_angle_gamma 114.53
loop_
_atom_site_label
_atom_site_type_symbol
_atom_site_fract_x
_atom_site_fract_y
_atom_site_fract_z
Tc1 Tc 0.500 0.500 0.758
Tc2 Tc 0.000 0.000 0.960
Zn1 Zn 0.000 0.000 0.537
K1 K 0.500 0.500 0.245



# KZnTc2 | the Alexandria database | SCAN | single point on PBEsol structure
# Formation enthalpy at 0 K = 407 meV/atom
# N(E_F) = 2.05 states/eV/f.u.
# Crystal system = tetragonal
data_KZnTc2
_space_group_name_H-M_alt 'P 1'
_space_group_IT_number 1
_space_group_name_Hall 'P 1'
_cell_length_a 3.025
_cell_length_b 3.025
_cell_length_c 8.337
_cell_angle_alpha 89.98
_cell_angle_beta 90.00
_cell_angle_gamma 90.00
loop_
_atom_site_label
_atom_site_type_symbol
_atom_site_fract_x
_atom_site_fract_y
_atom_site_fract_z
Tc1 Tc 0.500 0.500 0.238
Zn1 Zn 0.000 0.000 0.429
K1 K 0.500 0.501 0.751
Tc2 Tc 0.000 0.000 0.082



# KZnTc2 | the Alexandria database | SCAN | single point on PBEsol structure
# Formation enthalpy at 0 K = 775 meV/atom
# N(E_F) = 2.18 states/eV/f.u.
# Crystal system = tetragonal
data_KZnTc2
_space_group_name_H-M_alt 'P 1'
_space_group_IT_number 1
_space_group_name_Hall 'P 1'
_cell_length_a 2.588
_cell_length_b 2.588
_cell_length_c 9.936
_cell_angle_alpha 90.00
_cell_angle_beta 90.00
_cell_angle_gamma 90.00
loop_
_atom_site_label
_atom_site_type_symbol
_atom_site_fract_x
_atom_site_fract_y
_atom_site_fract_z
K1 K 0.500 0.500 0.500
Tc1 Tc 0.000 0.000 0.794
Tc2 Tc 0.000 0.000 0.206
Zn1 Zn 0.500 0.500 0.000



# KZrTc2 | the Alexandria database | SCAN | single point on PBEsol structure
# Formation enthalpy at 0 K = 842 meV/atom
# N(E_F) = 3.94 states/eV/f.u.
# Crystal system = trigonal
# Offset from the most stable computed form = 394 meV per atom
data_KZrTc2
_space_group_name_H-M_alt 'P 1'
_space_group_IT_number 1
_space_group_name_Hall 'P 1'
_cell_length_a 2.803
_cell_length_b 2.803
_cell_length_c 10.918
_cell_angle_alpha 82.62
_cell_angle_beta 82.62
_cell_angle_gamma 60.00
loop_
_atom_site_label
_atom_site_type_symbol
_atom_site_fract_x
_atom_site_fract_y
_atom_site_fract_z
Zr1 Zr 0.500 0.500 0.500
K1 K 0.000 0.000 0.000
Tc1 Tc 0.243 0.243 0.271
Tc2 Tc 0.757 0.757 0.729



# KZrTc2 | the Alexandria database | SCAN | single point on PBEsol structure
# Formation enthalpy at 0 K = 447 meV/atom
# N(E_F) = 3.23 states/eV/f.u.
# Crystal system = tetragonal
# Offset from the most stable computed form = 0 meV per atom
data_KZrTc2
_space_group_name_H-M_alt 'P 1'
_space_group_IT_number 1
_space_group_name_Hall 'P 1'
_cell_length_a 3.032
_cell_length_b 3.032
_cell_length_c 9.588
_cell_angle_alpha 90.00
_cell_angle_beta 90.00
_cell_angle_gamma 90.00
loop_
_atom_site_label
_atom_site_type_symbol
_atom_site_fract_x
_atom_site_fract_y
_atom_site_fract_z
Zr1 Zr 0.000 0.000 0.416
K1 K 0.500 0.500 0.789
Tc1 Tc 0.500 0.500 0.216
Tc2 Tc 0.000 0.000 0.080



# K2ZrTc | the Alexandria database | SCAN | single point on PBEsol structure
# Formation enthalpy at 0 K = 1289 meV/atom
# N(E_F) = 3.12 states/eV/f.u.
# Crystal system = tetragonal
data_K2ZrTc
_space_group_name_H-M_alt 'P 1'
_space_group_IT_number 1
_space_group_name_Hall 'P 1'
_cell_length_a 2.787
_cell_length_b 2.787
_cell_length_c 12.544
_cell_angle_alpha 90.00
_cell_angle_beta 90.00
_cell_angle_gamma 90.00
loop_
_atom_site_label
_atom_site_type_symbol
_atom_site_fract_x
_atom_site_fract_y
_atom_site_fract_z
Zr1 Zr 0.500 0.500 0.500
K1 K 0.000 0.000 0.780
K2 K 0.000 0.000 0.220
Tc1 Tc 0.500 0.500 0.000



# KZrTc2 | the Alexandria database | SCAN | single point on PBEsol structure
# Formation enthalpy at 0 K = 606 meV/atom
# N(E_F) = 2.54 states/eV/f.u.
# Crystal system = orthorhombic
# Offset from the most stable computed form = 159 meV per atom
data_KZrTc2
_space_group_name_H-M_alt 'P 1'
_space_group_IT_number 1
_space_group_name_Hall 'P 1'
_cell_length_a 2.846
_cell_length_b 2.846
_cell_length_c 10.023
_cell_angle_alpha 90.00
_cell_angle_beta 90.00
_cell_angle_gamma 111.74
loop_
_atom_site_label
_atom_site_type_symbol
_atom_site_fract_x
_atom_site_fract_y
_atom_site_fract_z
K1 K 0.500 0.500 0.000
Tc1 Tc 0.000 0.000 0.287
Tc2 Tc 0.000 0.000 0.713
Zr1 Zr 0.500 0.500 0.500